The following is a DFT calculation (GGA+U) of a relaxed structure of TaAlW2O8.

Output
SG: P2/c
Polymorph energy (0 for the lowest one) (eV per formula unit): 0.00
Electronic total energy (eV per atom): -8.216
DOS(E_F) (states/eV/f.u.): 0.0

The structure in POSCAR format:
```
TaAlW2O8
1.0
5.621 0.000 0.000
0.000 5.203 0.009
0.000 5.196 9.346
Ta Al W O
2 2 4 16
direct
0.642 0.500 0.250
0.358 0.500 0.750
0.330 0.000 0.250
0.670 0.000 0.750
0.838 0.747 0.498
0.838 0.253 0.002
0.162 0.253 0.502
0.162 0.747 0.998
0.597 0.281 0.140
0.597 0.719 0.360
0.403 0.719 0.860
0.403 0.281 0.640
0.126 0.782 0.616
0.126 0.218 0.884
0.874 0.218 0.384
0.874 0.782 0.116
0.374 0.790 0.143
0.374 0.210 0.357
0.626 0.210 0.857
0.626 0.790 0.643
0.115 0.283 0.118
0.885 0.717 0.882
0.115 0.717 0.382
0.885 0.283 0.618
```